1:
# KNiRu2

KNiRu2 after structural relaxation (PBE-GGA, Alexandria via LeMat-Bulk).

The structure in POSCAR format:
```
KNiRu2
1.0
2.671 0.008 0.000
-0.007 2.671 0.000
0.000 0.000 9.252
K Ni Ru
1 1 2
direct
0.500 0.500 0.250 K
0.500 0.500 0.750 Ni
0.000 0.000 0.940 Ru
0.000 0.000 0.560 Ru
```

2:
# KNiRu2

KNiRu2 after structural relaxation (PBE-GGA, Alexandria via LeMat-Bulk).

The structure in POSCAR format:
```
KNiRu2
1.0
4.445 -0.003 -0.004
3.637 2.556 -0.004
0.467 0.148 6.987
K Ni Ru
1 1 2
direct
0.504 0.504 0.492 K
0.266 0.266 0.155 Ni
0.994 0.994 0.995 Ru
0.736 0.736 0.859 Ru
```

3:
# KNiRu2

KNiRu2 after structural relaxation (PBE-GGA, Alexandria via LeMat-Bulk).

The structure in POSCAR format:
```
KNiRu2
1.0
0.000 3.204 3.204
3.204 0.000 3.204
3.204 3.204 0.000
Ru K Ni
2 1 1
direct
0.250 0.250 0.250 Ru
0.750 0.750 0.750 Ru
0.000 0.000 0.000 K
0.500 0.500 0.500 Ni
```

Looking at the structures above, which would you pick as the most stable? I would pick 2.